DFT (GGA-PBE) results for a relaxed structure of SrCr3N.

Structure (CIF):
```
data_SrCr3N
_chemical_formula_sum 'Sr1 Cr3 N1'
_space_group_name_H-M_alt 'P 1'
_space_group_IT_number 1
_cell_length_a 6.2732
_cell_length_b 6.2732
_cell_length_c 6.2732
_cell_angle_alpha 90.00
_cell_angle_beta 90.00
_cell_angle_gamma 90.00
loop_
_space_group_symop_operation_xyz
'x,y,z'
loop_
_atom_site_label
_atom_site_type_symbol
_atom_site_fract_x
_atom_site_fract_y
_atom_site_fract_z
Sr1 Sr 0.0000 0.0000 0.0000
Cr1 Cr 0.0000 0.0000 0.5000
Cr2 Cr 0.0000 0.5000 0.0000
Cr3 Cr 0.5000 0.0000 0.0000
N1 N 0.5000 0.5000 0.5000
```

Values from the calculation:
electronic total energy	-23.4	eV per formula unit